VASP calculation (PBE) on a relaxed structure of CdSnIN2. Values from VASP.

```
&SYSTEM
  ibrav = 0, nat = 5, ntyp = 4
/
ATOMIC_SPECIES
Cd 112.41 Cd.upf
Sn 118.71 Sn.upf
I 126.90 I.upf
N 14.01 N.upf
CELL_PARAMETERS angstrom
4.531 0.000 0.000
0.000 4.531 0.000
0.000 0.000 6.142
ATOMIC_POSITIONS crystal
Cd 0.000 0.000 0.000
Sn 0.500 0.500 0.500
I 0.000 0.000 0.500
N 0.000 0.500 0.000
N 0.500 0.000 0.000
```

## Properties
Symmetry ... P4/mmm
E above lowest polymorph ... 35.4 kJ/mol of atoms
Mass density ... 5083 kg/m3
DOS at the Fermi energy ... 1.9 states/eV per cell
E_form (uncorrected) ... 1.530 eV per atom